# 1
Computed, not measured: a relaxed structure of GaPt4Rh at the PBE level of DFT.

Cell and atoms, written as CIF:
```
data_GaPt4Rh
_symmetry_space_group_name_H-M 'P 1 21/m 1'
_symmetry_Int_Tables_number 11
_symmetry_space_group_name_Hall '-P 2yb'
_cell_length_a 4.519
_cell_length_b 6.966
_cell_length_c 6.728
_cell_angle_alpha 90.00
_cell_angle_beta 106.76
_cell_angle_gamma 90.00
loop_
_atom_site_label
_atom_site_fract_x
_atom_site_fract_y
_atom_site_fract_z
Ga1 0.055 0.250 0.405
Pt1 0.231 0.250 0.809
Pt2 0.369 0.750 0.435
Pt3 0.390 0.057 0.192
Rh1 0.167 0.750 0.971
```

Values from the calculation:
calculated formation energy: -0.316 eV/f.u.
polymorph energy (0 for the lowest one): 1.14 eV per formula unit

***

# 2
Computed, not measured: a relaxed structure of Ca2Dy3Pt2 at the PBE level of DFT.

Cell and atoms, written as CIF:
```
data_Ca2Dy3Pt2
_symmetry_space_group_name_H-M 'C 1 2/m 1'
_symmetry_Int_Tables_number 12
_symmetry_space_group_name_Hall '-C 2y'
_cell_length_a 12.535
_cell_length_b 3.902
_cell_length_c 9.118
_cell_angle_alpha 90.00
_cell_angle_beta 118.18
_cell_angle_gamma 90.00
loop_
_atom_site_label
_atom_site_fract_x
_atom_site_fract_y
_atom_site_fract_z
Ca1 0.164 0.000 0.305
Dy1 0.000 0.500 0.500
Dy2 0.121 0.500 0.937
Pt1 0.164 0.000 0.744
```

Values from the calculation:
calculated formation energy: -5.415 eV/f.u.

***

# 3
Computed, not measured: a relaxed structure of YMg4Tl7 at the PBE level of DFT.

Cell and atoms, written as CIF:
```
data_YMg4Tl7
_symmetry_space_group_name_H-M 'C 1 2/m 1'
_symmetry_Int_Tables_number 12
_symmetry_space_group_name_Hall '-C 2y'
_cell_length_a 14.447
_cell_length_b 5.962
_cell_length_c 9.208
_cell_angle_alpha 90.00
_cell_angle_beta 122.72
_cell_angle_gamma 90.00
loop_
_atom_site_label
_atom_site_fract_x
_atom_site_fract_y
_atom_site_fract_z
Y1 0.000 0.000 0.000
Mg1 0.027 0.500 0.698
Mg2 0.194 0.500 0.337
Tl1 0.000 0.500 0.000
Tl2 0.069 0.000 0.403
Tl3 0.206 0.000 0.889
Tl4 0.228 0.500 0.691
```

Values from the calculation:
calculated formation energy: 0.165 eV/f.u.

***

# 4
Computed, not measured: a relaxed structure of TaSiRu2 at the PBE level of DFT.

Cell and atoms, written as CIF:
```
data_TaSiRu2
_symmetry_space_group_name_H-M 'C 1 m 1'
_symmetry_Int_Tables_number 8
_symmetry_space_group_name_Hall 'C -2y'
_cell_length_a 9.257
_cell_length_b 3.076
_cell_length_c 4.335
_cell_angle_alpha 90.00
_cell_angle_beta 108.06
_cell_angle_gamma 90.00
loop_
_atom_site_label
_atom_site_fract_x
_atom_site_fract_y
_atom_site_fract_z
Ta1 0.000 0.000 0.000
Si1 0.243 0.000 0.647
Ru1 0.016 0.500 0.522
Ru2 0.246 0.500 0.158
```

Values from the calculation:
energy relative to the elements, uncorrected: -0.425 eV/atom

***

# 5
Computed, not measured: a relaxed structure of CdPCl2 at the PBE level of DFT.

Cell and atoms, written as CIF:
```
data_CdPCl2
_symmetry_space_group_name_H-M 'R -3 m'
_symmetry_Int_Tables_number 166
_symmetry_space_group_name_Hall '-R 3 2"'
_cell_length_a 3.5990
_cell_length_b 3.5990
_cell_length_c 31.2446
_cell_angle_alpha 90.00
_cell_angle_beta 90.00
_cell_angle_gamma 120.00
loop_
_atom_site_label
_atom_site_fract_x
_atom_site_fract_y
_atom_site_fract_z
Cd1 0.0000 0.0000 0.0000
P1 0.0000 0.0000 0.5000
Cl1 0.0000 0.0000 0.2820
```

Values from the calculation:
energy relative to the elements, uncorrected: 0.017 eV/atom
polymorph energy (0 for the lowest one): 1.65 eV per formula unit

***

# 6
Computed, not measured: a relaxed structure of PaCdCuPd at the PBE level of DFT.

Cell and atoms, written as CIF:
```
data_PaCdCuPd
_symmetry_space_group_name_H-M 'F -4 3 m'
_symmetry_Int_Tables_number 216
_symmetry_space_group_name_Hall 'F -4 2 3'
_cell_length_a 6.774
_cell_length_b 6.774
_cell_length_c 6.774
_cell_angle_alpha 90.00
_cell_angle_beta 90.00
_cell_angle_gamma 90.00
loop_
_atom_site_label
_atom_site_fract_x
_atom_site_fract_y
_atom_site_fract_z
Pa1 0.000 0.000 0.000
Cd1 0.000 0.000 0.500
Cu1 0.250 0.250 0.250
Pd1 0.250 0.250 0.750
```

Values from the calculation:
calculated formation energy: -0.769 eV/f.u.

***

# 7
Computed, not measured: a relaxed structure of CdIn2AuBr at the PBE level of DFT.

Cell and atoms, written as CIF:
```
data_CdIn2AuBr
_symmetry_space_group_name_H-M 'P 4/m m m'
_symmetry_Int_Tables_number 123
_symmetry_space_group_name_Hall '-P 4 2'
_cell_length_a 5.368
_cell_length_b 5.368
_cell_length_c 5.354
_cell_angle_alpha 90.00
_cell_angle_beta 90.00
_cell_angle_gamma 90.00
loop_
_atom_site_label
_atom_site_fract_x
_atom_site_fract_y
_atom_site_fract_z
Cd1 0.000 0.000 0.000
In1 0.000 0.500 0.500
Au1 0.000 0.000 0.500
Br1 0.500 0.500 0.000
```

Values from the calculation:
energy relative to the elements, uncorrected: -0.247 eV/atom

***

# 8
Computed, not measured: a relaxed structure of Th3Ge at the PBE level of DFT.

Cell and atoms, written as CIF:
```
data_Th3Ge
_symmetry_space_group_name_H-M 'I m m 2'
_symmetry_Int_Tables_number 44
_symmetry_space_group_name_Hall 'I 2 -2'
_cell_length_a 3.888
_cell_length_b 10.227
_cell_length_c 5.892
_cell_angle_alpha 90.00
_cell_angle_beta 90.00
_cell_angle_gamma 90.00
loop_
_atom_site_label
_atom_site_fract_x
_atom_site_fract_y
_atom_site_fract_z
Th1 0.000 0.000 0.000
Th2 0.000 0.211 0.402
Ge1 0.000 0.500 0.105
```

Values from the calculation:
calculated formation energy: -0.907 eV/f.u.
polymorph energy (0 for the lowest one): 0.72 eV per formula unit

***

The evaluated DOS at the Fermi energy for the records listed, in turn: 1.260 0.745 0.384 0.680 0.394 1.495 0.263 1.201 states/eV per atom.